No. 1
Material: SrPrTlI6
Method: DFT, PBE
State: optimized geometry

Cell and atoms, written as CIF:
```
data_SrPrTlI6
_cell_length_a 8.3019
_cell_length_b 8.3019
_cell_length_c 15.1000
_cell_angle_alpha 90.00
_cell_angle_beta 90.00
_cell_angle_gamma 120.00
_symmetry_space_group_name_H-M 'P 1'
_symmetry_Int_Tables_number 1
_symmetry_space_group_name_Hall 'P 1'
loop_
_atom_site_label
_atom_site_fract_x
_atom_site_fract_y
_atom_site_fract_z
Sr1 0.3333 0.6667 0.2500
Sr2 0.6667 0.3333 0.7500
Pr1 0.3333 0.6667 0.7500
Pr2 0.6667 0.3333 0.2500
Tl1 0.0000 0.0000 0.0000
Tl2 0.0000 0.0000 0.5000
I1 0.0131 0.3672 0.6287
I2 0.0131 0.6459 0.8713
I3 0.3541 0.3672 0.8713
I4 0.3541 0.9869 0.6287
I5 0.3672 0.0131 0.1287
I6 0.3672 0.3541 0.3713
I7 0.6328 0.6459 0.6287
I8 0.6328 0.9869 0.8713
I9 0.6459 0.0131 0.3713
I10 0.6459 0.6328 0.1287
I11 0.9869 0.3541 0.1287
I12 0.9869 0.6328 0.3713
```

Calculated values
DOS(E_F) = 0.000 states/eV per cell
density = 4.4 g cm⁻³
crystal system = trigonal
DFT total energy = -3.3574 eV/atom
V = 50.072 Å³ per atom



No. 2
Material: Ba4TbSn3O12
Method: DFT, PBE
State: optimized geometry

Cell and atoms, written as CIF:
```
data_Ba4TbSn3O12
_cell_length_a 7.3834
_cell_length_b 7.3834
_cell_length_c 7.3834
_cell_angle_alpha 109.47
_cell_angle_beta 109.47
_cell_angle_gamma 109.47
_symmetry_space_group_name_H-M 'P 1'
_symmetry_Int_Tables_number 1
_symmetry_space_group_name_Hall 'P 1'
loop_
_atom_site_label
_atom_site_fract_x
_atom_site_fract_y
_atom_site_fract_z
Ba1 0.0000 0.0000 0.5000
Ba2 0.0000 0.5000 0.0000
Ba3 0.5000 0.0000 0.0000
Ba4 0.5000 0.5000 0.5000
Tb1 0.0000 0.0000 0.0000
Sn1 0.0000 0.5000 0.5000
Sn2 0.5000 0.0000 0.5000
Sn3 0.5000 0.5000 0.0000
O1 0.0000 0.2619 0.2619
O2 0.0000 0.7381 0.7381
O3 0.2500 0.5000 0.7500
O4 0.2500 0.7500 0.5000
O5 0.2619 0.0000 0.2619
O6 0.2619 0.2619 0.0000
O7 0.5000 0.2500 0.7500
O8 0.5000 0.7500 0.2500
O9 0.7381 0.0000 0.7381
O10 0.7381 0.7381 0.0000
O11 0.7500 0.2500 0.5000
O12 0.7500 0.5000 0.2500
```

Calculated values
DOS(E_F) = 12.942 states/eV per cell
density = 6.7 g cm⁻³
crystal system = cubic
DFT total energy = -6.5297 eV/atom
V = 15.493 Å³ per atom



No. 3
Material: Cr3Fe13
Method: DFT, PBE
State: optimized geometry

Cell and atoms, written as CIF:
```
data_Cr3Fe13
_cell_length_a 7.1730
_cell_length_b 5.0116
_cell_length_c 5.0116
_cell_angle_alpha 89.47
_cell_angle_beta 90.00
_cell_angle_gamma 90.00
_symmetry_space_group_name_H-M 'P 1'
_symmetry_Int_Tables_number 1
_symmetry_space_group_name_Hall 'P 1'
loop_
_atom_site_label
_atom_site_fract_x
_atom_site_fract_y
_atom_site_fract_z
Cr1 0.0000 0.0000 0.0000
Cr2 0.2552 0.2720 0.2720
Cr3 0.7448 0.2720 0.2720
Fe1 0.0000 0.0194 0.4967
Fe2 0.0000 0.4967 0.0194
Fe3 0.0000 0.5129 0.5129
Fe4 0.2405 0.7628 0.7628
Fe5 0.2451 0.2631 0.7691
Fe6 0.2451 0.7691 0.2631
Fe7 0.5000 0.0111 0.5217
Fe8 0.5000 0.0167 0.0167
Fe9 0.5000 0.5159 0.5159
Fe10 0.5000 0.5217 0.0111
Fe11 0.7549 0.2631 0.7691
Fe12 0.7549 0.7691 0.2631
Fe13 0.7595 0.7628 0.7628
```

Calculated values
DOS(E_F) = 19.279 states/eV per cell
density = 8.1 g cm⁻³
crystal system = orthorhombic
formation energy = 0.114 eV/atom
V = 11.259 Å³ per atom



No. 4
Material: LiSbH3
Method: DFT, PBE
State: optimized geometry

Cell and atoms, written as CIF:
```
data_LiSbH3
_cell_length_a 4.0518
_cell_length_b 4.1324
_cell_length_c 4.1425
_cell_angle_alpha 119.40
_cell_angle_beta 92.50
_cell_angle_gamma 91.61
_symmetry_space_group_name_H-M 'P 1'
_symmetry_Int_Tables_number 1
_symmetry_space_group_name_Hall 'P 1'
loop_
_atom_site_label
_atom_site_fract_x
_atom_site_fract_y
_atom_site_fract_z
Li1 0.0000 0.0000 0.0000
Sb1 0.5063 0.6626 0.3194
H1 0.2268 0.4366 0.4973
H2 0.5085 0.1244 0.8572
H3 0.7926 0.4809 0.5425
```

Calculated values
DOS(E_F) = 0.383 states/eV per cell
density = 3.6 g cm⁻³
crystal system = triclinic
V = 12.055 Å³ per atom
offset from the most stable computed form = 0.262 eV/atom